KHfTlS3 | GGA-PBE | optimized geometry

Summary:
The polymorph energy (0 for the lowest one) is 0 meV per atom. For the size of the total moment, the calculation gives 0.00 μB per formula unit. For the final energy, the calculation gives -5.55 eV/atom.

Unit cell a=15.0634 b=3.7663 c=11.4509 alpha=90.00 beta=90.00 gamma=90.00
With the nearest neighbours (Å) after each atom.
Fractional positions:
S1 0.6833 0.7500 0.5988  2 Hf 2.54
S2 0.9515 0.7500 0.8899  3 Hf 2.62-2.69
Hf1 0.0718 0.2500 0.8772  6 S 2.45-2.69
S3 0.1833 0.7500 0.9012  2 Hf 2.54
S4 0.5485 0.2500 0.3899  3 Hf 2.62-2.69
S5 0.3167 0.2500 0.4012  2 Hf 2.54
K1 0.2351 0.7500 0.6172  6 S 3.16-3.34
S6 0.0700 0.2500 0.6633  1 Hf 2.45
S7 0.0485 0.2500 0.1101  3 Hf 2.62-2.69
Tl1 0.4265 0.7500 0.8706  3 S 2.89-3.01
S8 0.8167 0.2500 0.0988  2 Hf 2.54
Hf2 0.5718 0.2500 0.6228  6 S 2.45-2.69
Tl2 0.0735 0.2500 0.3706  3 S 2.89-3.01
S9 0.4300 0.7500 0.1633  1 Hf 2.45
Hf3 0.9282 0.7500 0.1228  6 S 2.45-2.69
S10 0.4515 0.7500 0.6101  3 Hf 2.62-2.69
S11 0.9300 0.7500 0.3367  1 Hf 2.45
Tl3 0.5735 0.2500 0.1294  3 S 2.89-3.01
Hf4 0.4282 0.7500 0.3772  6 S 2.45-2.69
K2 0.2649 0.2500 0.1172  6 S 3.16-3.34
K3 0.7351 0.7500 0.8828  6 S 3.16-3.34
K4 0.7649 0.2500 0.3828  6 S 3.16-3.34
Tl4 0.9265 0.7500 0.6294  3 S 2.89-3.01
S12 0.5700 0.2500 0.8367  1 Hf 2.45

KHfZnS3 | GGA-PBE | optimized geometry

Summary:
For the size of the total moment, the calculation gives 0.01 μB per formula unit. For the final energy, the calculation gives -5.32 eV/atom.

Unit cell a=8.5760 b=3.7305 c=9.2885 alpha=90.00 beta=110.67 gamma=90.00
With the nearest neighbours (Å) after each atom.
Fractional positions:
S1 0.2838 0.7500 0.9518  3 Zn 2.35-2.49
S2 0.0372 0.7500 0.3357  3 Hf 2.52-2.56
S3 0.3707 0.2500 0.6314  1 Zn 2.29
Zn1 0.5864 0.7500 0.1111  4 S 2.29-2.49
Hf1 0.8512 0.2500 0.3747  5 S 2.52-2.65
Zn2 0.4136 0.2500 0.8889  4 S 2.29-2.49
K1 0.7056 0.7500 0.7386  7 S 3.15-3.40
Hf2 0.1488 0.7500 0.6253  5 S 2.52-2.65
S4 0.6293 0.7500 0.3686  1 Zn 2.29
K2 0.2944 0.2500 0.2614  7 S 3.15-3.40
S5 0.7162 0.2500 0.0482  3 Zn 2.35-2.49
S6 0.9628 0.2500 0.6643  3 Hf 2.52-2.56

K2HfSb2 | GGA-PBE | optimized geometry

Summary:
For the size of the total moment, the calculation gives 0.00 μB per formula unit. For the final energy, the calculation gives -4.40 eV/atom.

Unit cell a=9.2665 b=9.2665 c=5.9702 alpha=90.00 beta=90.00 gamma=134.26
With the nearest neighbours (Å) after each atom.
Fractional positions:
Hf1 0.0000 0.0000 0.0000  4 Sb 2.92, 2 Hf 2.99
K1 0.2139 0.7861 0.7500  6 Sb 3.59-3.90, 2 Hf 3.95
K2 0.7861 0.2139 0.2500  6 Sb 3.59-3.90, 2 Hf 3.95
K3 0.4171 0.5829 0.2500  6 Sb 3.55-3.75
Sb1 0.6537 0.8684 0.7500  2 Hf 2.92
Sb2 0.8684 0.6537 0.2500  2 Hf 2.92
Sb3 0.3463 0.1316 0.2500  2 Hf 2.92
Sb4 0.1316 0.3463 0.7500  2 Hf 2.92
K4 0.5829 0.4171 0.7500  6 Sb 3.55-3.75
Hf2 0.0000 0.0000 0.5000  4 Sb 2.92, 2 Hf 2.99

KHf3Sb5 | GGA-PBE | optimized geometry

Summary:
For the size of the total moment, the calculation gives 0.00 μB per formula unit. For the final energy, the calculation gives -6.06 eV/atom.

Unit cell a=5.9936 b=5.9936 c=9.0527 alpha=90.00 beta=90.00 gamma=120.00
With the nearest neighbours (Å) after each atom.
Fractional positions:
Hf1 0.0000 0.5000 0.5000  6 Sb 3.00, 4 Hf 3.00
Sb1 0.6667 0.3333 0.2288  3 Hf 3.00
Hf2 0.5000 0.0000 0.5000  4 Hf 3.00, 6 Sb 3.00
Hf3 0.5000 0.5000 0.5000  4 Hf 3.00, 6 Sb 3.00
Sb2 0.6667 0.3333 0.7712  3 Hf 3.00
K1 0.0000 0.0000 0.0000  12 Sb 4.03
Sb3 0.3333 0.6667 0.7712  3 Hf 3.00
Sb4 0.3333 0.6667 0.2288  3 Hf 3.00
Sb5 0.0000 0.0000 0.5000  6 Hf 3.00

KHfSc | GGA-PBE | optimized geometry

Summary:
The polymorph energy (0 for the lowest one) is 273 meV per atom. For the size of the total moment, the calculation gives 1.52 μB per formula unit. For the final energy, the calculation gives -3.89 eV/atom.

Unit cell a=5.1543 b=5.1543 c=5.1543 alpha=60.00 beta=60.00 gamma=60.00
With the nearest neighbours (Å) after each atom.
Fractional positions:
K1 0.0000 0.0000 0.0000  4 Hf 3.16, 4 Sc 3.16
Hf1 0.2500 0.2500 0.2500  4 K 3.16
Sc1 0.7500 0.7500 0.7500  4 K 3.16

KHfSc | GGA-PBE | optimized geometry

Summary:
The polymorph energy (0 for the lowest one) is 0 meV per atom. For the size of the total moment, the calculation gives 4.75 μB per formula unit. For the final energy, the calculation gives -4.16 eV/atom.

Unit cell a=5.4435 b=5.4435 c=5.4435 alpha=60.00 beta=60.00 gamma=60.00
With the nearest neighbours (Å) after each atom.
Fractional positions:
Sc1 0.0000 0.0000 0.0000  4 Hf 3.33, 4 K 3.33
K1 0.7500 0.7500 0.7500  4 Sc 3.33
Hf1 0.2500 0.2500 0.2500  4 Sc 3.33

KHfScSe3 | GGA-PBE | optimized geometry

Summary:
The polymorph energy (0 for the lowest one) is 66 meV per atom. For the size of the total moment, the calculation gives 0.04 μB per formula unit. For the final energy, the calculation gives -5.92 eV/atom.

Unit cell a=7.9165 b=7.9165 c=10.4823 alpha=90.00 beta=90.00 gamma=149.66
With the nearest neighbours (Å) after each atom.
Fractional positions:
K1 0.7482 0.2518 0.7500  8 Se 3.39-3.68
Se1 0.3787 0.6213 0.9515  1 Hf 2.55, 2 Sc 2.83
Sc1 0.0000 0.0000 0.5000  6 Se 2.83-2.85
Hf1 0.5280 0.4720 0.2500  4 Se 2.55-2.58
Se2 0.9270 0.0730 0.2500  2 Hf 2.58, 2 Sc 2.85
Sc2 0.0000 0.0000 0.0000  6 Se 2.83-2.85
Se3 0.6213 0.3787 0.0485  1 Hf 2.55, 2 Sc 2.83
K2 0.2518 0.7482 0.2500  8 Se 3.39-3.68
Se4 0.0730 0.9270 0.7500  2 Hf 2.58, 2 Sc 2.85
Se5 0.3787 0.6213 0.5485  1 Hf 2.55, 2 Sc 2.83
Se6 0.6213 0.3787 0.4515  1 Hf 2.55, 2 Sc 2.83
Hf2 0.4720 0.5280 0.7500  4 Se 2.55-2.58

KHfScSe3 | GGA-PBE | optimized geometry

Summary:
The polymorph energy (0 for the lowest one) is 0 meV per atom. For the size of the total moment, the calculation gives 0.30 μB per formula unit. For the final energy, the calculation gives -5.99 eV/atom.

Unit cell a=8.6270 b=3.8238 c=10.7872 alpha=90.00 beta=112.63 gamma=90.00
With the nearest neighbours (Å) after each atom.
Fractional positions:
Se1 0.8129 0.7500 0.5161  3 Sc 2.65-2.71
Hf1 0.3340 0.2500 0.9259  5 Se 2.61-2.75
Se2 0.8975 0.2500 0.1182  2 Hf 2.67, 1 Sc 2.79
Se3 0.1025 0.7500 0.8818  2 Hf 2.67, 1 Sc 2.79
Sc1 0.1516 0.7500 0.6404  5 Se 2.65-2.79
K1 0.2384 0.7500 0.2460  7 Se 3.33-3.64
Se4 0.1871 0.2500 0.4839  3 Sc 2.65-2.71
K2 0.7616 0.2500 0.7540  7 Se 3.33-3.64
Hf2 0.6660 0.7500 0.0741  5 Se 2.61-2.75
Se5 0.5242 0.2500 0.1813  3 Hf 2.61-2.75, 1 Sc 2.72
Se6 0.4758 0.7500 0.8187  3 Hf 2.61-2.75, 1 Sc 2.72
Sc2 0.8484 0.2500 0.3596  5 Se 2.65-2.79